Material: HoBe2BRu2
Method: DFT, GGA-PBE
State: relaxed

Space group: P4/mmm (123)
Formation enthalpy at 0 K (eV per atom): -0.40
VASP energy (eV per atom): -6.61

Cell lengths 4.1005, 4.1005, 5.0267 Å; angles 90.00, 90.00, 90.00 degrees
With the nearest neighbours (Å) after each atom.
Fractional coordinates of all 6 atoms:
1 Ho 0.0000 0.0000 0.0000  2 B 2.51
2 Be 0.5000 0.5000 0.2648  1 Be 2.36, 4 Ru 2.37
3 Be 0.5000 0.5000 0.7352  1 Be 2.36, 4 Ru 2.37
4 B 0.0000 0.0000 0.5000  4 Ru 2.05
5 Ru 0.0000 0.5000 0.5000  2 B 2.05
6 Ru 0.5000 0.0000 0.5000  2 B 2.05